The following is a PBE calculation of a relaxed Mn2BeMo crystal, from the Alexandria database.

## Properties
SG	C2/m (12)
energy of formation	0.14	eV/atom

a b c (Å): 4.788 4.788 2.545
angles (deg): 102.23 102.23 116.97
Fractional coordinates of all 4 atoms:
Mn (0.000, 0.500, 0.000)
Mn (0.500, 0.000, 0.000)
Be (0.000, 0.000, 0.500)
Mo (0.500, 0.500, 0.500)

The following is a PBE calculation of a relaxed MnBe2Mo crystal, from the Alexandria database.

## Properties
SG	Pmmm (47)
energy of formation	0.03	eV/atom

a b c (Å): 2.587 3.159 5.395
angles (deg): 90.00 90.00 90.00
Fractional coordinates of all 4 atoms:
Mn (0.000, 0.000, 0.000)
Be (0.500, 0.500, 0.214)
Be (0.500, 0.500, 0.786)
Mo (0.000, 0.000, 0.500)

no.,total DFT energy (no corrections) (eV per atom)
1,-8.086
2,-6.835